! Ba3BiS5 PBE-GGA relaxed; values from VASP
! VASP energy, eV per atom: -4.6790
! ΔE_f (raw), eV/atom: -1.31
&SYSTEM
  ibrav = 0, nat = 18, ntyp = 3
/
ATOMIC_SPECIES
S 32.06 S.upf
Ba 137.33 Ba.upf
Bi 208.98 Bi.upf
CELL_PARAMETERS angstrom
8.512 0.000 0.000
0.000 8.512 0.000
-4.256 -4.256 7.654
ATOMIC_POSITIONS angstrom
S 1.388 2.868 5.483
S 5.644 7.124 2.171
S 1.388 5.644 2.171
S -2.868 1.388 5.483
S -1.388 -2.868 5.483
S 0.000 0.000 0.000
S 2.868 -1.388 5.483
S 4.256 4.256 0.000
S 7.124 2.868 2.171
S 2.868 1.388 2.171
Ba 0.000 0.000 3.827
Ba 1.343 2.913 0.000
Ba 5.599 1.343 0.000
Ba 4.256 4.256 3.827
Ba 2.913 7.169 0.000
Ba 7.169 5.599 0.000
Bi 4.256 0.000 3.827
Bi 0.000 4.256 3.827

=====

! Ba2BiSbS6 PBE-GGA relaxed; values from VASP
! VASP energy, eV per atom: -4.5950
! ΔE_f (raw), eV/atom: -0.93
&SYSTEM
  ibrav = 0, nat = 20, ntyp = 4
/
ATOMIC_SPECIES
Bi 208.98 Bi.upf
Sb 121.76 Sb.upf
S 32.06 S.upf
Ba 137.33 Ba.upf
CELL_PARAMETERS angstrom
-5.177 -4.380 2.407
0.950 -4.389 -5.943
7.051 -5.471 5.167
ATOMIC_POSITIONS angstrom
Bi -2.589 -2.190 1.203
Bi 4.000 -4.930 -0.388
Sb 0.475 -2.195 -2.972
Sb 0.937 -4.925 3.787
S 2.289 -4.217 1.739
S -1.202 -4.056 2.719
S -0.523 -4.540 -3.140
S 2.251 -6.996 -1.097
S 0.572 -7.244 2.728
S -0.442 -1.962 -0.576
S 4.025 -10.184 -1.088
S 3.346 -9.700 4.771
S 0.535 -10.023 -0.108
S -2.546 -7.523 0.396
S 5.370 -6.717 1.234
S 3.265 -12.278 2.207
Ba 0.296 -8.726 5.785
Ba 3.133 -8.909 1.705
Ba 2.528 -5.514 -4.154
Ba -0.310 -5.331 -0.075

=====

! Ba2BiSbS5 PBE-GGA relaxed; values from VASP
! VASP energy, eV per atom: -4.7022
! ΔE_f (raw), eV/atom: -1.09
&SYSTEM
  ibrav = 0, nat = 18, ntyp = 4
/
ATOMIC_SPECIES
Bi 208.98 Bi.upf
S 32.06 S.upf
Ba 137.33 Ba.upf
Sb 121.76 Sb.upf
CELL_PARAMETERS angstrom
-0.224 3.446 -2.654
-8.577 -0.333 3.865
4.085 7.764 9.734
ATOMIC_POSITIONS angstrom
Bi -3.681 0.790 1.336
Bi -2.882 6.576 5.207
S -3.334 3.614 1.400
S -2.280 8.717 11.510
S -2.089 5.918 7.860
S -5.475 7.326 9.973
S 0.892 3.804 1.290
S -0.456 5.922 4.154
S -5.393 7.334 6.404
S 0.483 9.024 8.101
S -0.824 0.690 0.965
S -4.147 3.851 5.350
Ba -1.062 2.728 3.632
Ba -6.260 4.186 2.390
Ba -3.213 8.986 8.364
Ba 0.938 5.538 7.111
Sb 3.048 9.240 8.166
Sb -6.104 4.791 6.735

=====

! Ba2Sc2Bi2S PBE-GGA relaxed; values from VASP
! VASP energy, eV per atom: -5.1791
! ΔE_f (raw), eV/atom: -1.12
&SYSTEM
  ibrav = 0, nat = 7, ntyp = 4
/
ATOMIC_SPECIES
Sc 44.96 Sc.upf
Bi 208.98 Bi.upf
S 32.06 S.upf
Ba 137.33 Ba.upf
CELL_PARAMETERS angstrom
4.986 0.000 0.000
0.000 4.986 0.000
-2.493 -2.493 9.082
ATOMIC_POSITIONS angstrom
Sc 2.493 0.000 0.000
Sc 0.000 2.493 0.000
Bi 0.000 0.000 6.978
Bi 2.493 2.493 2.104
S 0.000 0.000 0.000
Ba 0.000 0.000 3.135
Ba 2.493 2.493 5.947

=====

! Ba2ScBiS5 PBE-GGA relaxed; values from VASP
! VASP energy, eV per atom: -5.3723
! ΔE_f (raw), eV/atom: -1.52
&SYSTEM
  ibrav = 0, nat = 18, ntyp = 4
/
ATOMIC_SPECIES
S 32.06 S.upf
Ba 137.33 Ba.upf
Bi 208.98 Bi.upf
Sc 44.96 Sc.upf
CELL_PARAMETERS angstrom
-1.189 0.698 -3.950
-6.523 -5.234 3.254
-6.894 11.100 4.035
ATOMIC_POSITIONS angstrom
S -10.629 2.487 1.422
S -1.496 0.083 0.465
S -11.994 7.489 4.932
S -4.792 -0.191 -0.807
S -2.540 3.212 -0.884
S -9.443 8.496 2.126
S -8.405 4.488 3.322
S -7.207 1.359 2.408
S -5.962 4.470 0.368
S -12.275 3.689 4.345
Ba -6.090 6.436 2.969
Ba -7.420 -1.636 -0.272
Ba -4.131 1.932 1.584
Ba -11.180 5.767 2.167
Bi -9.687 0.512 3.005
Bi -7.708 10.543 1.965
Sc -8.231 3.423 0.866
Sc -3.276 -1.848 0.659

=====

! BaBiSeS2 PBE-GGA relaxed; values from VASP
! VASP energy, eV per atom: -3.8055
! ΔE_f (raw), eV/atom: -0.30
&SYSTEM
  ibrav = 0, nat = 5, ntyp = 4
/
ATOMIC_SPECIES
Bi 208.98 Bi.upf
S 32.06 S.upf
Ba 137.33 Ba.upf
Se 78.96 Se.upf
CELL_PARAMETERS angstrom
5.172 0.000 0.000
0.000 5.464 0.000
0.000 0.000 5.172
ATOMIC_POSITIONS angstrom
Bi 0.000 2.732 0.000
S 2.586 0.000 0.000
S 0.000 0.000 2.586
Ba 2.586 2.732 2.586
Se 0.000 0.000 0.000

=====

! BaSiBiS2 PBE-GGA relaxed; values from VASP
! VASP energy, eV per atom: -3.8232
! ΔE_f (raw), eV/atom: 0.07
&SYSTEM
  ibrav = 0, nat = 5, ntyp = 4
/
ATOMIC_SPECIES
S 32.06 S.upf
Ba 137.33 Ba.upf
Bi 208.98 Bi.upf
Si 28.09 Si.upf
CELL_PARAMETERS angstrom
-2.765 -3.957 0.444
2.512 -1.158 5.330
-3.427 2.640 2.189
ATOMIC_POSITIONS angstrom
S -1.714 1.320 1.094
S -1.383 -1.979 0.222
Ba 1.256 -0.579 2.665
Bi -1.840 -1.238 3.981
Si 0.000 0.000 0.000

=====

! Ba2SnBiS5 PBE-GGA relaxed; values from VASP
! VASP energy, eV per atom: -4.7598
! ΔE_f (raw), eV/atom: -1.16
&SYSTEM
  ibrav = 0, nat = 18, ntyp = 4
/
ATOMIC_SPECIES
Sn 118.71 Sn.upf
S 32.06 S.upf
Bi 208.98 Bi.upf
Ba 137.33 Ba.upf
CELL_PARAMETERS angstrom
-3.403 2.081 -2.073
4.632 -4.280 -7.028
-7.188 -10.256 1.508
ATOMIC_POSITIONS angstrom
Sn -8.211 -9.064 -0.490
Sn -0.630 -7.503 -6.497
S 2.077 -2.336 -5.757
S -1.632 -2.017 -4.219
S -2.873 -7.445 -7.631
S -0.807 -5.857 -4.555
S -4.474 -5.036 -2.583
S -2.660 -11.170 -6.845
S -6.889 -9.075 -2.673
S -0.029 -0.647 -0.603
S -3.087 -8.669 -3.633
S -3.662 -1.802 -0.671
Bi 1.080 -1.659 -3.440
Bi -3.813 -6.192 -4.829
Ba -0.777 -3.360 -6.972
Ba -4.257 -7.774 -0.814
Ba -1.499 -4.045 -1.599
Ba -5.370 -9.708 -5.802

=====

! Ba3SrBi2S PBE-GGA relaxed; values from VASP
! VASP energy, eV per atom: -3.9640
! ΔE_f (raw), eV/atom: -1.20
&SYSTEM
  ibrav = 0, nat = 7, ntyp = 4
/
ATOMIC_SPECIES
Ba 137.33 Ba.upf
Bi 208.98 Bi.upf
Sr 87.62 Sr.upf
S 32.06 S.upf
CELL_PARAMETERS angstrom
5.619 0.000 0.000
0.000 5.839 0.000
-2.810 -2.920 9.292
ATOMIC_POSITIONS angstrom
Ba 0.000 0.000 3.270
Ba 2.810 2.920 6.022
Ba 0.000 2.920 0.000
Bi 2.810 2.920 2.466
Bi 0.000 0.000 6.826
Sr 2.810 0.000 0.000
S 0.000 0.000 0.000

=====

! BaSr2BiS PBE-GGA relaxed; values from VASP
! VASP energy, eV per atom: -3.7695
! ΔE_f (raw), eV/atom: -1.11
&SYSTEM
  ibrav = 0, nat = 5, ntyp = 4
/
ATOMIC_SPECIES
Sr 87.62 Sr.upf
S 32.06 S.upf
Ba 137.33 Ba.upf
Bi 208.98 Bi.upf
CELL_PARAMETERS angstrom
-4.285 -0.458 3.721
-0.267 -5.599 -0.997
3.994 -0.988 4.478
ATOMIC_POSITIONS angstrom
Sr -0.133 -2.800 -0.498
Sr -2.142 -0.229 1.860
S 0.000 0.000 0.000
Ba 1.997 -0.494 2.239
Bi -0.279 -3.523 3.601

=====

! Ba2Sr2Bi2S PBE-GGA relaxed; values from VASP
! VASP energy, eV per atom: -3.9838
! ΔE_f (raw), eV/atom: -1.26
&SYSTEM
  ibrav = 0, nat = 7, ntyp = 4
/
ATOMIC_SPECIES
Bi 208.98 Bi.upf
Ba 137.33 Ba.upf
S 32.06 S.upf
Sr 87.62 Sr.upf
CELL_PARAMETERS angstrom
5.572 0.000 0.000
0.000 5.572 0.000
-2.786 -2.786 9.258
ATOMIC_POSITIONS angstrom
Bi 2.786 2.786 2.422
Bi 0.000 0.000 6.836
Ba 0.000 0.000 3.236
Ba 2.786 2.786 6.022
S 0.000 0.000 0.000
Sr 2.786 0.000 0.000
Sr 0.000 2.786 0.000

=====

! Ba2TlBiS5 PBE-GGA relaxed; values from VASP
! VASP energy, eV per atom: -4.5299
! ΔE_f (raw), eV/atom: -1.12
&SYSTEM
  ibrav = 0, nat = 18, ntyp = 4
/
ATOMIC_SPECIES
S 32.06 S.upf
Ba 137.33 Ba.upf
Tl 204.38 Tl.upf
Bi 208.98 Bi.upf
CELL_PARAMETERS angstrom
4.239 0.000 0.000
-2.120 9.336 0.000
0.000 0.000 12.960
ATOMIC_POSITIONS angstrom
S 2.120 2.683 6.479
S 2.120 8.469 7.271
S 0.000 6.653 12.959
S 0.000 5.311 8.590
S 2.120 0.089 3.533
S 2.120 3.492 11.238
S 0.000 0.867 0.791
S 0.000 9.247 10.014
S 2.120 4.026 2.110
S 0.000 5.845 4.758
Ba 2.120 7.202 2.395
Ba 0.000 2.134 8.875
Ba 2.120 6.880 10.489
Ba 0.000 2.457 4.008
Tl 2.120 0.998 12.271
Tl 0.000 8.338 5.791
Bi 2.120 5.292 6.734
Bi 0.000 4.044 0.254

=====

! Ba2Tm2Bi2S PBE-GGA relaxed; values from VASP
! VASP energy, eV per atom: -4.6500
! ΔE_f (raw), eV/atom: -1.12
&SYSTEM
  ibrav = 0, nat = 7, ntyp = 4
/
ATOMIC_SPECIES
Ba 137.33 Ba.upf
Bi 208.98 Bi.upf
Tm 168.93 Tm.upf
S 32.06 S.upf
CELL_PARAMETERS angstrom
-2.887 0.233 4.287
-3.517 -3.091 -2.201
7.526 -5.846 2.264
ATOMIC_POSITIONS angstrom
Ba 1.505 -2.532 1.151
Ba -0.384 -6.172 3.199
Bi -2.178 -3.152 1.827
Bi 3.299 -5.552 2.524
Tm -1.759 -1.545 -1.100
Tm -1.444 0.116 2.144
S 0.000 0.000 0.000

=====

! Ba2UBiS6 PBE-GGA relaxed; values from VASP
! VASP energy, eV per atom: -5.8003
! ΔE_f (raw), eV/atom: -1.42
&SYSTEM
  ibrav = 0, nat = 10, ntyp = 4
/
ATOMIC_SPECIES
S 32.06 S.upf
Ba 137.33 Ba.upf
Bi 208.98 Bi.upf
U 238.03 U.upf
CELL_PARAMETERS angstrom
-7.213 -1.589 1.405
1.617 -1.071 7.086
1.802 6.338 -3.261
ATOMIC_POSITIONS angstrom
S -4.388 -1.441 6.456
S -5.180 -0.917 2.987
S -3.422 1.967 1.078
S 1.385 4.595 2.243
S -0.373 1.711 4.152
S 0.594 5.119 -1.226
Ba -0.374 2.519 0.466
Ba -3.421 1.159 4.764
Bi -3.607 -0.795 0.703
U 0.808 -0.536 3.543

=====

! BaBiWS2 PBE-GGA relaxed; values from VASP
! VASP energy, eV per atom: -4.8362
! ΔE_f (raw), eV/atom: 0.57
&SYSTEM
  ibrav = 0, nat = 5, ntyp = 4
/
ATOMIC_SPECIES
S 32.06 S.upf
Bi 208.98 Bi.upf
Ba 137.33 Ba.upf
W 183.84 W.upf
CELL_PARAMETERS angstrom
-1.290 4.623 -2.724
-5.037 -1.808 -0.682
-1.497 2.380 4.749
ATOMIC_POSITIONS angstrom
S -0.749 1.190 2.374
S -0.645 2.312 -1.362
Bi 0.000 0.000 0.000
Ba -3.913 2.598 0.671
W -2.519 -0.904 -0.341

=====

! BaBi2Sb PBE-GGA relaxed; values from VASP
! VASP energy, eV per atom: -3.9103
! ΔE_f (raw), eV/atom: -0.46
&SYSTEM
  ibrav = 0, nat = 4, ntyp = 3
/
ATOMIC_SPECIES
Bi 208.98 Bi.upf
Ba 137.33 Ba.upf
Sb 121.76 Sb.upf
CELL_PARAMETERS angstrom
5.554 0.075 -1.453
-0.390 4.180 -1.285
-0.618 -0.397 6.537
ATOMIC_POSITIONS angstrom
Bi 4.091 3.722 3.493
Bi 3.037 2.258 -1.060
Ba 0.786 2.958 1.940
Sb 3.759 0.904 1.857

=====

! Ba8Bi3Sb2 PBE-GGA relaxed; values from VASP
! VASP energy, eV per atom: -3.5905
! ΔE_f (raw), eV/atom: -0.88
&SYSTEM
  ibrav = 0, nat = 13, ntyp = 3
/
ATOMIC_SPECIES
Bi 208.98 Bi.upf
Ba 137.33 Ba.upf
Sb 121.76 Sb.upf
CELL_PARAMETERS angstrom
5.374 8.937 0.632
-10.170 1.956 1.375
0.645 -0.806 5.915
ATOMIC_POSITIONS angstrom
Bi -1.301 2.954 0.544
Bi 0.322 -0.403 2.958
Bi -3.495 7.938 1.463
Ba -1.406 8.776 4.397
Ba -5.268 7.041 4.581
Ba -0.377 6.354 0.907
Ba 1.117 3.045 3.341
Ba -4.419 4.539 1.100
Ba -2.745 1.311 3.525
Ba 3.552 8.118 0.719
Ba -8.348 2.774 1.288
Sb -5.784 3.378 4.138
Sb 1.632 6.708 3.784

=====

! Ba2Bi2Sb PBE-GGA relaxed; values from VASP
! Offset from the most stable computed form, meV per atom: 0.0
! VASP energy, eV per atom: -3.8489
! ΔE_f (raw), eV/atom: -0.70
&SYSTEM
  ibrav = 0, nat = 10, ntyp = 3
/
ATOMIC_SPECIES
Ba 137.33 Ba.upf
Bi 208.98 Bi.upf
Sb 121.76 Sb.upf
CELL_PARAMETERS angstrom
-8.473 0.839 1.509
1.474 -0.418 8.510
0.539 5.162 0.160
ATOMIC_POSITIONS angstrom
Ba -6.234 3.137 4.080
Ba -0.225 2.446 6.098
Ba -2.216 2.779 2.067
Ba -4.243 2.804 8.112
Bi -1.856 -0.053 7.967
Bi -0.551 -0.046 3.348
Bi -6.447 0.467 6.671
Bi -5.143 0.474 2.052
Sb 0.000 0.000 0.000
Sb -3.499 0.211 5.009

=====

! BaBiSb2 PBE-GGA relaxed; values from VASP
! VASP energy, eV per atom: -3.9449
! ΔE_f (raw), eV/atom: -0.43
&SYSTEM
  ibrav = 0, nat = 4, ntyp = 3
/
ATOMIC_SPECIES
Bi 208.98 Bi.upf
Sb 121.76 Sb.upf
Ba 137.33 Ba.upf
CELL_PARAMETERS angstrom
-4.645 1.156 -1.352
-1.355 -4.894 0.470
-1.221 0.807 4.885
ATOMIC_POSITIONS angstrom
Bi -3.610 -1.465 2.002
Sb -0.611 0.404 2.443
Sb -0.677 -2.447 0.235
Ba -2.322 0.578 -0.676

=====

! Ba5Bi5Sb2 PBE-GGA relaxed; values from VASP
! VASP energy, eV per atom: -3.8499
! ΔE_f (raw), eV/atom: -0.74
&SYSTEM
  ibrav = 0, nat = 12, ntyp = 3
/
ATOMIC_SPECIES
Bi 208.98 Bi.upf
Ba 137.33 Ba.upf
Sb 121.76 Sb.upf
CELL_PARAMETERS angstrom
-0.902 4.414 2.659
-9.506 1.623 -0.774
-1.857 -3.159 9.757
ATOMIC_POSITIONS angstrom
Bi 0.000 0.000 0.000
Bi -7.093 0.819 1.380
Bi -9.227 0.256 6.736
Bi -5.173 2.059 10.263
Bi -3.039 2.622 4.907
Ba -2.570 0.762 8.155
Ba -5.682 -0.768 4.492
Ba -3.401 1.624 1.295
Ba -9.696 2.116 3.488
Ba -8.865 1.254 10.348
Sb -6.350 0.116 7.944
Sb -5.916 2.762 3.699

=====

! BaBiSb2 PBE-GGA relaxed; values from VASP
! VASP energy, eV per atom: -3.9215
! ΔE_f (raw), eV/atom: -0.41
&SYSTEM
  ibrav = 0, nat = 8, ntyp = 3
/
ATOMIC_SPECIES
Sb 121.76 Sb.upf
Bi 208.98 Bi.upf
Ba 137.33 Ba.upf
CELL_PARAMETERS angstrom
-3.184 -3.548 -1.401
3.714 -2.416 -2.248
2.522 -8.992 8.523
ATOMIC_POSITIONS angstrom
Sb -0.193 -3.312 -1.196
Sb 2.200 -7.623 2.927
Sb 4.600 -10.069 3.571
Sb -1.478 -6.363 -0.099
Bi 1.589 -5.860 0.570
Bi 1.779 -10.531 4.963
Ba -1.330 -7.983 2.993
Ba 3.181 -2.540 -1.977